[1]
! PBE TePt2, relaxed; values from VASP
! Relative energy among the computed polymorphs: 0.0 meV/atom
! DOS at the Fermi energy: 0.652 states/eV/atom
! Raw formation energy: -0.179 eV per atom
&SYSTEM
  ibrav = 0, nat = 6, ntyp = 2
/
ATOMIC_SPECIES
Te 127.60 Te.upf
Pt 195.08 Pt.upf
CELL_PARAMETERS angstrom
3.963 0.000 0.000
-1.981 3.432 0.000
0.000 0.000 8.818
ATOMIC_POSITIONS angstrom
Te 0.000 0.000 2.205
Te 0.000 0.000 6.614
Pt 0.000 2.288 0.748
Pt 0.000 2.288 3.661
Pt 1.981 1.144 5.157
Pt 1.981 1.144 8.070



[2]
! PBE Te2Pt, relaxed; values from VASP
! DOS at the Fermi energy: 0.448 states/eV/atom
! Raw formation energy: -0.042 eV per atom
&SYSTEM
  ibrav = 0, nat = 12, ntyp = 2
/
ATOMIC_SPECIES
Te 127.60 Te.upf
Pt 195.08 Pt.upf
CELL_PARAMETERS angstrom
-1.783 1.783 24.732
1.783 -1.783 24.732
1.783 1.783 -24.732
ATOMIC_POSITIONS angstrom
Te 1.783 -0.892 13.905
Te 1.783 0.892 -7.585
Te 1.783 -0.892 23.193
Te 0.000 0.892 4.781
Te 1.783 0.892 19.951
Te 0.000 2.675 1.539
Te 0.000 0.892 32.317
Te 0.000 2.675 10.827
Pt 1.783 0.892 2.780
Pt 1.783 0.892 9.586
Pt 0.000 0.892 15.146
Pt 0.000 0.892 21.952



[3]
! PBE Te2Pt, relaxed; values from VASP
! DOS at the Fermi energy: 1.204 states/eV/atom
! Raw formation energy: 1.089 eV per atom
&SYSTEM
  ibrav = 0, nat = 6, ntyp = 2
/
ATOMIC_SPECIES
Te 127.60 Te.upf
Pt 195.08 Pt.upf
CELL_PARAMETERS angstrom
0.000 4.274 4.274
4.274 0.000 4.274
4.274 4.274 0.000
ATOMIC_POSITIONS angstrom
Te 0.000 0.000 0.000
Te 2.137 2.137 0.000
Te 2.137 0.000 2.137
Te 0.000 2.137 2.137
Pt 3.205 3.205 3.205
Pt 5.342 5.342 5.342



[4]
! PBE Te5Pt4, relaxed; values from VASP
! Relative energy among the computed polymorphs: 0.0 meV/atom
! DOS at the Fermi energy: 0.429 states/eV/atom
! Raw formation energy: 0.011 eV per atom
&SYSTEM
  ibrav = 0, nat = 18, ntyp = 2
/
ATOMIC_SPECIES
Te 127.60 Te.upf
Pt 195.08 Pt.upf
CELL_PARAMETERS angstrom
7.870 0.000 0.000
-3.935 6.815 0.000
0.000 0.000 7.681
ATOMIC_POSITIONS angstrom
Te -0.962 1.666 1.920
Te -2.973 5.149 5.761
Te 1.924 0.000 1.920
Te 0.962 1.666 5.761
Te 0.000 4.544 0.000
Te 0.000 4.544 3.840
Te 3.935 2.272 0.000
Te 3.935 2.272 3.840
Te 5.946 0.000 5.761
Te 2.973 5.149 1.920
Pt 0.000 0.000 0.000
Pt 0.000 0.000 3.840
Pt -1.647 2.853 5.761
Pt -2.288 3.962 1.920
Pt 3.294 0.000 5.761
Pt 1.647 2.853 1.920
Pt 4.575 0.000 1.920
Pt 2.288 3.962 5.761



[5]
! PBE Te2Pt, relaxed; values from VASP
! DOS at the Fermi energy: 0.600 states/eV/atom
! Raw formation energy: -0.090 eV per atom
&SYSTEM
  ibrav = 0, nat = 6, ntyp = 2
/
ATOMIC_SPECIES
Te 127.60 Te.upf
Pt 195.08 Pt.upf
CELL_PARAMETERS angstrom
6.575 -1.983 0.000
6.575 1.983 0.000
-2.505 0.000 7.435
ATOMIC_POSITIONS angstrom
Te 0.000 0.000 0.000
Te 2.653 0.000 0.859
Te 2.415 0.000 3.740
Te 5.906 0.000 3.390
Pt 4.311 0.000 5.786
Pt 10.782 0.000 3.805



[6]
! PBE Te2Pt, relaxed; values from VASP
! DOS at the Fermi energy: 0.507 states/eV/atom
! Raw formation energy: -0.165 eV per atom
&SYSTEM
  ibrav = 0, nat = 6, ntyp = 2
/
ATOMIC_SPECIES
Te 127.60 Te.upf
Pt 195.08 Pt.upf
CELL_PARAMETERS angstrom
3.961 0.000 0.000
-1.981 3.431 0.000
0.000 0.000 11.606
ATOMIC_POSITIONS angstrom
Te 0.000 2.287 1.363
Te 0.000 2.287 4.440
Te 1.981 1.144 7.165
Te 1.981 1.144 10.243
Pt 0.000 0.000 2.901
Pt 0.000 0.000 8.704